First-principles (PBE with a Hubbard U) data for a geometry-optimized CaV2O4 structure, as listed in Alexandria via LeMat-Bulk.

Cell lengths 6.277, 6.277, 15.576 Å; angles 90.00, 90.00, 120.00 degrees
Sites, in units of the cell vectors:
Ca1 0.000 0.000 0.000
Ca2 0.000 0.000 0.244
Ca3 0.000 0.000 0.620
Ca4 0.333 0.667 0.334
Ca5 0.333 0.667 0.956
Ca6 0.667 0.333 0.667
V1 0.004 0.502 0.124
V2 0.163 0.326 0.788
V3 0.163 0.837 0.788
V4 0.333 0.667 0.576
V5 0.342 0.171 0.452
V6 0.498 0.502 0.124
V7 0.498 0.996 0.124
V8 0.667 0.333 0.286
V9 0.667 0.333 0.909
V10 0.674 0.837 0.788
V11 0.829 0.171 0.452
V12 0.829 0.658 0.452
O1 0.000 0.000 0.392
O2 0.000 0.000 0.856
O3 0.007 0.503 0.861
O4 0.168 0.336 0.525
O5 0.168 0.832 0.525
O6 0.182 0.364 0.060
O7 0.182 0.818 0.060
O8 0.299 0.150 0.719
O9 0.333 0.667 0.194
O10 0.333 0.667 0.710
O11 0.384 0.192 0.199
O12 0.497 0.503 0.861
O13 0.497 0.993 0.861
O14 0.525 0.051 0.375
O15 0.525 0.475 0.375
O16 0.636 0.818 0.060
O17 0.664 0.832 0.525
O18 0.667 0.333 0.036
O19 0.667 0.333 0.520
O20 0.808 0.192 0.199
O21 0.808 0.616 0.199
O22 0.850 0.150 0.719
O23 0.850 0.701 0.719
O24 0.949 0.475 0.375

Its total energy is -7.540 eV per atom. The total magnetization is 24.00 Bohr magnetons per cell. Its excess energy over the best structure of this formula in the dataset is 0.087 eV per atom.